1.
## Sm5In2Sn2 (PBE)

Data for a geometry-optimized Sm5In2Sn2 structure.

Lattice parameters (Å, degrees): 9.0356 9.0356 8.2498 90.00 90.00 55.00
With the nearest neighbours (Å) after each atom.
Fractional coordinates of all 18 atoms:
Sm1 0.0000 0.0000 0.0000  4 In 3.27-3.30, 2 Sn 3.29
Sm2 0.0358 0.6817 0.6722  3 Sn 3.20-3.25, 3 In 3.27-3.40
Sm3 0.1817 0.5358 0.1722  3 Sn 3.20-3.25, 3 In 3.27-3.40
Sm4 0.3183 0.9642 0.6722  3 Sn 3.20-3.25, 3 In 3.27-3.40
Sm5 0.4642 0.8183 0.1722  3 Sn 3.20-3.25, 3 In 3.27-3.40
Sm6 0.5000 0.5000 0.5000  4 In 3.27-3.30, 2 Sn 3.29
Sm7 0.5358 0.1817 0.8278  3 Sn 3.20-3.25, 3 In 3.27-3.40
Sm8 0.6817 0.0358 0.3278  3 Sn 3.20-3.25, 3 In 3.27-3.40
Sm9 0.8183 0.4642 0.8278  3 Sn 3.20-3.25, 3 In 3.27-3.40
Sm10 0.9642 0.3183 0.3278  3 Sn 3.20-3.25, 3 In 3.27-3.40
In1 0.1238 0.8762 0.3763  1 In 2.90
In2 0.3762 0.6238 0.8763  1 In 2.90
In3 0.6238 0.3762 0.1237  1 In 2.90
In4 0.8762 0.1238 0.6237  1 In 2.90
Sn1 0.2055 0.2055 0.0000  7 Sm 3.20-3.29
Sn2 0.2945 0.2945 0.5000  7 Sm 3.20-3.29
Sn3 0.7055 0.7055 0.5000  7 Sm 3.20-3.29
Sn4 0.7945 0.7945 0.0000  7 Sm 3.20-3.29

Calculated values
space group: Cmce

***

2.
## RbTl (PBE)

Data for a geometry-optimized RbTl structure.

Lattice parameters (Å, degrees): 9.6712 9.6712 9.6712 93.38 93.38 151.88
With the nearest neighbours (Å) after each atom.
Fractional coordinates of all 8 atoms:
Rb1 0.1221 0.1968 0.3189  4 Tl 3.77-4.04
Rb2 0.1968 0.8779 0.0746  4 Tl 3.77-4.04
Rb3 0.8032 0.1221 0.9254  4 Tl 3.77-4.04
Rb4 0.8779 0.8032 0.6811  4 Tl 3.77-4.04
Tl1 0.0828 0.5957 0.6786  5 Tl 3.34-3.36
Tl2 0.4043 0.0828 0.4871  5 Tl 3.34-3.36
Tl3 0.5957 0.9172 0.5129  5 Tl 3.34-3.36
Tl4 0.9172 0.4043 0.3214  5 Tl 3.34-3.36

Calculated values
space group: I4/m

***

no.,total DFT energy (no corrections) (eV/cell),ΔH_f (0 K) (eV per atom)
1,-84.48,-0.57
2,-13.65,-0.04